Record 1
Entry from the Alexandria database: a geometry-optimized CaPuHgBi structure (PBE).

The calculation puts the magnetization at 6.33 μB/f.u. The raw total energy is -5.55 eV per atom. Its theoretical density is 9.87 g cm⁻³. The space-group type is F-43m, No. 216.

Cell lengths 7.757, 7.757, 7.757 Å; angles 90.00, 90.00, 90.00 degrees
Element x y z (fractional)
Ca: 0.000 0.000 0.000
Ca: 0.000 0.500 0.500
Ca: 0.500 0.000 0.500
Ca: 0.500 0.500 0.000
Pu: 0.000 0.000 0.500
Pu: 0.000 0.500 0.000
Pu: 0.500 0.000 0.000
Pu: 0.500 0.500 0.500
Hg: 0.250 0.250 0.250
Hg: 0.250 0.750 0.750
Hg: 0.750 0.250 0.750
Hg: 0.750 0.750 0.250
Bi: 0.250 0.250 0.750
Bi: 0.250 0.750 0.250
Bi: 0.750 0.250 0.250
Bi: 0.750 0.750 0.750



Record 2
Entry from the Alexandria database: a geometry-optimized NaCa4Nd3S8 structure (PBE).

The calculation puts the magnetization at 0.00 μB/f.u. The raw total energy is -5.55 eV per atom. Its theoretical density is 3.85 g cm⁻³. The space-group type is R-3m, No. 166.

Cell lengths 8.120, 8.120, 8.120 Å; angles 59.78, 59.78, 59.78 degrees
Element x y z (fractional)
Na: 0.000 0.000 0.000
Ca: 0.000 0.000 0.500
Ca: 0.000 0.500 0.000
Ca: 0.500 0.000 0.000
Ca: 0.500 0.500 0.500
Nd: 0.000 0.500 0.500
Nd: 0.500 0.000 0.500
Nd: 0.500 0.500 0.000
S: 0.248 0.248 0.248
S: 0.252 0.747 0.747
S: 0.253 0.253 0.748
S: 0.253 0.748 0.253
S: 0.747 0.252 0.747
S: 0.747 0.747 0.252
S: 0.748 0.253 0.253
S: 0.752 0.752 0.752



Record 3
Entry from the Alexandria database: a geometry-optimized RbHg2SbRu structure (PBE).

The calculation puts the magnetization at 0.00 μB/f.u. The raw total energy is -3.04 eV per atom. Its theoretical density is 7.88 g cm⁻³. The space-group type is P4/mmm, No. 123.

Cell lengths 5.460, 5.460, 5.015 Å; angles 90.00, 90.00, 90.00 degrees
Element x y z (fractional)
Rb: 0.000 0.000 0.000
Hg: 0.000 0.500 0.500
Hg: 0.500 0.000 0.500
Sb: 0.500 0.500 0.000
Ru: 0.500 0.500 0.500



Please write out number 2 again, unchanged.
Entry from the Alexandria database: a geometry-optimized NaCa4Nd3S8 structure (PBE).

The calculation puts the magnetization at 0.00 μB/f.u. The raw total energy is -5.55 eV per atom. Its theoretical density is 3.85 g cm⁻³. The space-group type is R-3m, No. 166.

Cell lengths 8.120, 8.120, 8.120 Å; angles 59.78, 59.78, 59.78 degrees
Element x y z (fractional)
Na: 0.000 0.000 0.000
Ca: 0.000 0.000 0.500
Ca: 0.000 0.500 0.000
Ca: 0.500 0.000 0.000
Ca: 0.500 0.500 0.500
Nd: 0.000 0.500 0.500
Nd: 0.500 0.000 0.500
Nd: 0.500 0.500 0.000
S: 0.248 0.248 0.248
S: 0.252 0.747 0.747
S: 0.253 0.253 0.748
S: 0.253 0.748 0.253
S: 0.747 0.252 0.747
S: 0.747 0.747 0.252
S: 0.748 0.253 0.253
S: 0.752 0.752 0.752



Which formula does entry 2 have?
NaCa4Nd3S8